[1]
Density functional theory data (PBE) for a relaxed RbLaSiS4 crystal.

Values from the calculation:
Formation energy from raw total energies = -1.49 eV/atom
Calculated volume = 389 Å³ per cell
Space group = P2_1/m, No. 11
Uncorrected energy = -5.467 eV per atom

Unit cell a=6.6496 b=6.6841 c=9.1761 alpha=90.00 beta=107.25 gamma=90.00
Closest atoms and distances in Å follow each position.
Positions (direct):
Rb (0.2255, 0.2500, 0.4342)  8 S 3.49-3.62
Rb (0.7745, 0.7500, 0.5658)  8 S 3.49-3.62
La (0.2656, 0.2500, 0.9500)  6 S 2.90-2.99
La (0.7344, 0.7500, 0.0500)  6 S 2.90-2.99
Si (0.2875, 0.7500, 0.1763)  4 S 2.11-2.14
Si (0.7125, 0.2500, 0.8237)  4 S 2.11-2.14
S (0.0941, 0.7500, 0.3224)  1 Si 2.11
S (0.1053, 0.7500, 0.9409)  1 Si 2.14
S (0.4972, 0.0001, 0.2137)  1 Si 2.14
S (0.4972, 0.4999, 0.2137)  1 Si 2.14
S (0.5028, 0.9999, 0.7863)  1 Si 2.14
S (0.5028, 0.5001, 0.7863)  1 Si 2.14
S (0.8947, 0.2500, 0.0591)  1 Si 2.14
S (0.9059, 0.2500, 0.6776)  1 Si 2.11

---

[2]
Density functional theory data (PBE) for a relaxed RbLaSiS4 crystal.

Values from the calculation:
Formation energy from raw total energies = -1.49 eV/atom
Calculated volume = 780 Å³ per cell
Space group = Pnma, No. 62
Uncorrected energy = -5.466 eV per atom

Unit cell a=17.5723 b=6.6855 c=6.6359 alpha=90.00 beta=90.00 gamma=90.00
Closest atoms and distances in Å follow each position.
Positions (direct):
Rb (0.2165, 0.2500, 0.0355)  8 S 3.46-3.63
Rb (0.2835, 0.7500, 0.5355)  8 S 3.46-3.63
Rb (0.7165, 0.2500, 0.4645)  8 S 3.46-3.63
Rb (0.7835, 0.7500, 0.9645)  8 S 3.46-3.63
La (0.0249, 0.7500, 0.7133)  6 S 2.91-2.99
La (0.4751, 0.2500, 0.2133)  6 S 2.91-2.99
La (0.5249, 0.7500, 0.7867)  6 S 2.91-2.99
La (0.9751, 0.2500, 0.2867)  6 S 2.91-2.99
Si (0.0880, 0.7500, 0.2150)  4 S 2.11-2.14
Si (0.4120, 0.2500, 0.7150)  4 S 2.11-2.14
Si (0.5880, 0.7500, 0.2850)  4 S 2.11-2.14
Si (0.9120, 0.2500, 0.7850)  4 S 2.11-2.14
S (0.0295, 0.2500, 0.8704)  1 Si 2.14
S (0.1067, 0.0003, 0.4093)  1 Si 2.14
S (0.1067, 0.4997, 0.4093)  1 Si 2.14
S (0.1610, 0.7500, 0.9619)  1 Si 2.11
S (0.3390, 0.2500, 0.4619)  1 Si 2.11
S (0.3933, 0.9997, 0.9093)  1 Si 2.14
S (0.3933, 0.5003, 0.9093)  1 Si 2.14
S (0.4705, 0.7500, 0.3704)  1 Si 2.14
S (0.5295, 0.2500, 0.6296)  1 Si 2.14
S (0.6067, 0.0003, 0.0907)  1 Si 2.14
S (0.6067, 0.4997, 0.0907)  1 Si 2.14
S (0.6610, 0.7500, 0.5381)  1 Si 2.11
S (0.8390, 0.2500, 0.0381)  1 Si 2.11
S (0.8933, 0.9997, 0.5907)  1 Si 2.14
S (0.8933, 0.5003, 0.5907)  1 Si 2.14
S (0.9705, 0.7500, 0.1296)  1 Si 2.14

---

Which value of formation energy from raw total energies does entry 2 give?
-1.49 eV/atom